An optimized crystal structure of TlP2Cl, computed with PBE.

Calculated values
energy above the most stable polymorph in this dataset: 0.197 eV/atom
uncorrected formation energy: -0.05 eV per atom
E_tot: -15.22 eV/cell

a = 3.3400 Å, b = 3.3397 Å, c = 8.5678 Å
α = 90.00°, β = 90.00°, γ = 90.00°
Fractional coordinates of all 4 atoms:
P (0.5000, 0.5000, 0.0680)
P (0.0000, 0.0000, 0.1280)
Cl (0.5000, 0.5000, 0.8218)
Tl (0.0000, 0.0000, 0.4822)

An optimized crystal structure of TlPCl2, computed with PBE.

Calculated values
energy above the most stable polymorph in this dataset: 0.528 eV/atom
uncorrected formation energy: 0.24 eV per atom
E_tot: -10.50 eV/cell

a = 5.2469 Å, b = 5.2469 Å, c = 5.2469 Å
α = 60.00°, β = 60.00°, γ = 60.00°
Last column: magnetic moment on the atom in μB.
Fractional coordinates of all 4 atoms:
Tl (0.5000, 0.5000, 0.5000)  0.03
Cl (0.7500, 0.7500, 0.7500)  0.07
Cl (0.2500, 0.2500, 0.2500)  0.07
P (0.0000, 0.0000, 0.0000)  0.83

An optimized crystal structure of TlPCl4, computed with PBE.

Calculated values
uncorrected formation energy: 0.60 eV per atom
E_tot: -11.56 eV/cell

a = 6.1204 Å, b = 6.1204 Å, c = 6.1204 Å
α = 60.00°, β = 60.00°, γ = 60.00°
Last column: magnetic moment on the atom in μB.
Fractional coordinates of all 6 atoms:
Cl (0.3754, 0.8737, 0.3754)  0.42
Cl (0.3754, 0.3754, 0.8737)  0.42
Cl (0.3754, 0.3754, 0.3754)  0.42
Cl (0.8737, 0.3754, 0.3754)  0.42
Tl (0.0000, 0.0000, 0.0000)  0.03
P (0.7500, 0.7500, 0.7500)  1.00

An optimized crystal structure of TlPCl2, computed with PBE.

Calculated values
energy above the most stable polymorph in this dataset: 0.060 eV/atom
uncorrected formation energy: -0.23 eV per atom
E_tot: -12.37 eV/cell

a = 6.0169 Å, b = 6.0169 Å, c = 5.8851 Å
α = 60.77°, β = 60.77°, γ = 34.82°
Fractional coordinates of all 4 atoms:
Cl (0.4248, 0.4248, 0.5748)
Cl (0.0752, 0.0752, 0.9252)
P (0.7500, 0.7500, 0.7500)
Tl (0.2500, 0.2500, 0.2500)

An optimized crystal structure of TlPCl2, computed with PBE.

Calculated values
energy above the most stable polymorph in this dataset: 0.287 eV/atom
uncorrected formation energy: 0.00 eV per atom
E_tot: -11.46 eV/cell

a = 4.1986 Å, b = 4.1986 Å, c = 8.6633 Å
α = 90.00°, β = 90.00°, γ = 126.43°
Fractional coordinates of all 4 atoms:
Cl (0.5000, 0.5000, 0.3294)
Cl (0.0000, 0.0000, 0.9552)
P (0.0000, 0.0000, 0.4836)
Tl (0.5000, 0.5000, 0.7318)

An optimized crystal structure of TlP2Cl, computed with PBE.

Calculated values
energy above the most stable polymorph in this dataset: 0.628 eV/atom
uncorrected formation energy: 0.39 eV per atom
E_tot: -13.49 eV/cell

a = 7.5399 Å, b = 7.5399 Å, c = 7.5399 Å
α = 150.73°, β = 150.71°, γ = 41.88°
Fractional coordinates of all 4 atoms:
P (0.5002, 0.5002, 0.0000)
P (0.9998, 0.9998, 0.0000)
Cl (0.2500, 0.7500, 0.5000)
Tl (0.7500, 0.2500, 0.5000)

Question: Among the records above, which one has the highest E_tot?
Answer: number 2

Question: What is the E_tot in the sixth record?
Answer: -13.49 eV/cell